PrSi2Pt5 | the Alexandria database | PBE-GGA | optimized geometry; VASP energy = -6.6399 eV per atom
1.0
3.981 0.000 0.000
0.000 7.076 0.000
0.000 0.000 9.755
Pr Si Pt
2 4 10
Cartesian
0.000 0.000 0.000
1.990 3.538 4.878
0.000 3.538 2.402
0.000 3.538 7.354
1.990 0.000 2.476
1.990 0.000 7.279
0.000 1.406 3.415
0.000 1.406 6.340
0.000 3.538 0.000
0.000 5.670 3.415
0.000 5.670 6.340
1.990 0.000 4.878
1.990 2.132 1.463
1.990 2.132 8.293
1.990 4.944 1.463
1.990 4.944 8.293

=====

BaAs2I | the Alexandria database | PBE-GGA | optimized geometry; VASP energy = -3.1179 eV per atom
1.0
7.848 0.000 0.000
0.000 7.848 0.000
0.000 0.000 7.848
Ba As I
4 8 4
Cartesian
0.000 0.000 0.000
0.000 3.924 3.924
3.924 0.000 3.924
3.924 3.924 0.000
1.962 1.962 1.962
1.962 1.962 5.886
1.962 5.886 1.962
1.962 5.886 5.886
5.886 1.962 1.962
5.886 1.962 5.886
5.886 5.886 1.962
5.886 5.886 5.886
0.000 0.000 3.924
0.000 3.924 0.000
3.924 0.000 0.000
3.924 3.924 3.924

=====

Q: Which uncorrected formation energy values were calculated for the entries above? A: -0.911, 0.075, in eV per atom.